[1]
Material: Tb6PmTl3
Method: DFT, PBE
State: optimized geometry

a = 10.1925 Å, b = 5.2298 Å, c = 11.3935 Å
α = 90.00°, β = 100.40°, γ = 90.00°
Space group P2_1/m (No. 11)
Asymmetric unit:
Tb: 0.0559 0.2500 0.4060 x2
Tb: 0.1430 0.7500 0.1845 x2
Tb: 0.2246 0.2500 0.9818 x2
Tb: 0.3128 0.7500 0.7774 x2
Tb: 0.3650 0.2500 0.2777 x2
Tb: 0.4183 0.2500 0.5923 x2
Pm: 0.4547 0.7500 0.0951 x2
Tl: 0.0384 0.7500 0.8881 x2
Tl: 0.1321 0.2500 0.6900 x2
Tl: 0.2663 0.7500 0.4638 x2

Computed properties:
D(E_F) = 1.200 states/eV per atom
E_form = -4.523 kcal/mol of atoms
mass density = 9.52 g/cm³
volume = 597.3 Å³/cell
crystal system = monoclinic

=====

[2]
Material: TbPm3Tl2
Method: DFT, PBE
State: optimized geometry

a = 16.4923 Å, b = 5.0532 Å, c = 10.2776 Å
α = 90.00°, β = 118.76°, γ = 90.00°
Space group C2/m (No. 12)
Asymmetric unit:
Tb: 0.1183 0.0000 0.0671 x4
Pm: 0.0423 0.0000 0.3622 x4
Pm: 0.1325 0.5000 0.6710 x4
Pm: 0.2114 0.5000 0.3805 x4
Tl: 0.0102 0.5000 0.8587 x4
Tl: 0.2407 0.0000 0.8962 x4

Computed properties:
D(E_F) = 1.033 states/eV per atom
E_form = -4.173 kcal/mol of atoms
energy above the most stable polymorph in this dataset = 0.55 eV/f.u.
mass density = 8.87 g/cm³
volume = 750.9 Å³/cell
crystal system = monoclinic

=====

[3]
Material: Tb5Pm3Tl3
Method: DFT, PBE
State: optimized geometry

a = 11.0034 Å, b = 11.0034 Å, c = 3.4660 Å
α = 90.00°, β = 90.00°, γ = 120.00°
Space group P-62m (No. 189)
Asymmetric unit:
Tb: 0.0000 0.2945 0.0000 x3
Tb: 0.3333 0.6667 0.0000 x2
Pm: 0.0000 0.6018 0.0000 x3
Tl: 0.0000 0.8393 0.5000 x3

Computed properties:
D(E_F) = 1.575 states/eV per atom
E_form = 5.024 kcal/mol of atoms
mass density = 8.42 g/cm³
volume = 363.4 Å³/cell
crystal system = hexagonal

=====

> The highest volume belongs to which entry?

TbPm3Tl2